## InTcPt2 (meta-GGA SCAN)

Data for InTcPt2 at its PBEsol-relaxed geometry.

Crystal system   cubic
Formation energy   0.03 eV per atom

Cell: 6.3339 6.3339 6.3339 Å, 90.00 90.00 90.00°
Closest atoms and distances in Å follow each position.
Space group F-43m (No. 216)
Unique sites:
In 0.0000 0.0000 0.0000 [4 per cell]  4 Tc 2.74, 4 Pt 2.74
Tc 0.2500 0.2500 0.7500 [4 per cell]  4 In 2.74, 4 Pt 2.74
Pt 0.0000 0.0000 0.5000 [4 per cell]  4 Tc 2.74, 4 Pt 2.74
Pt 0.2500 0.2500 0.2500 [4 per cell]  4 In 2.74, 4 Pt 2.74

---

## Fe2W (meta-GGA SCAN)

Data for Fe2W at its PBEsol-relaxed geometry.

Crystal system   hexagonal
Formation energy   0.11 eV per atom

Cell: 4.6162 4.6162 7.6373 Å, 90.00 90.00 120.00°
Closest atoms and distances in Å follow each position.
Space group P6_3/mmc (No. 194)
Unique sites:
Fe 0.0000 0.0000 0.0000 [2 per cell]  6 Fe 2.35
Fe 0.1705 0.3410 0.2500 [6 per cell]  6 Fe 2.25-2.36
W 0.3333 0.6667 0.5686 [4 per cell]  12 Fe 2.69-2.76, 4 W 2.77-2.86

---

## Zr2TcPt (meta-GGA SCAN)

Data for Zr2TcPt at its PBEsol-relaxed geometry.

Crystal system   cubic
Formation energy   -0.40 eV per atom

Cell: 6.4858 6.4858 6.4858 Å, 90.00 90.00 90.00°
Closest atoms and distances in Å follow each position.
Space group F-43m (No. 216)
Unique sites:
Zr 0.0000 0.0000 0.0000 [4 per cell]  4 Tc 2.81, 4 Zr 2.81
Zr 0.2500 0.2500 0.2500 [4 per cell]  4 Zr 2.81, 4 Pt 2.81
Tc 0.2500 0.2500 0.7500 [4 per cell]  4 Pt 2.81, 4 Zr 2.81
Pt 0.0000 0.0000 0.5000 [4 per cell]  4 Zr 2.81, 4 Tc 2.81

---

## Mn4BeIn (meta-GGA SCAN)

Data for Mn4BeIn at its PBEsol-relaxed geometry.

Crystal system   cubic
Formation energy   0.45 eV per atom

Cell: 6.6003 6.6003 6.6003 Å, 90.00 90.00 90.00°
Closest atoms and distances in Å follow each position.
Space group F-43m (No. 216)
Unique sites:
Mn 0.1240 0.1240 0.1240 [16 per cell]  6 Mn 2.32-2.35
Be 0.2500 0.2500 0.7500 [4 per cell]  12 Mn 2.73, 4 In 2.86
In 0.0000 0.0000 0.5000 [4 per cell]  12 Mn 2.74, 4 Be 2.86

---

## NaLaSn3 (meta-GGA SCAN)

Data for NaLaSn3 at its PBEsol-relaxed geometry.

Crystal system   cubic
Formation energy   0.04 eV per atom

Cell: 5.2373 5.2373 5.2373 Å, 90.00 90.00 90.00°
Closest atoms and distances in Å follow each position.
Space group Pm-3m (No. 221)
Unique sites:
Na 0.0000 0.0000 0.0000 [1 per cell]  6 Sn 2.62
La 0.5000 0.5000 0.5000 [1 per cell]  12 Sn 3.70
Sn 0.0000 0.0000 0.5000 [3 per cell]  2 Na 2.62

---

## Ba2CaMg (meta-GGA SCAN)

Data for Ba2CaMg at its PBEsol-relaxed geometry.

Crystal system   monoclinic
Formation energy   0.02 eV per atom

Cell: 14.4277 4.2693 6.4052 Å, 90.00 115.56 90.00°
Closest atoms and distances in Å follow each position.
Space group Cm (No. 8)
Unique sites:
Ba 0.0000 0.0000 0.0000 [2 per cell]  2 Mg 3.65, 4 Ca 3.95-3.96
Ba 0.2085 0.0000 0.7037 [2 per cell]  4 Mg 3.85-3.86, 4 Ba 4.19-4.27, 3 Ca 4.21-4.25
Ca 0.4293 0.0000 0.4301 [2 per cell]  2 Mg 3.39
Mg 0.2272 0.5000 0.2212 [2 per cell]  2 Ca 3.39, 2 Ba 3.65

---

## Tm2ZnIr (meta-GGA SCAN)

Data for Tm2ZnIr at its PBEsol-relaxed geometry.

Crystal system   cubic
Formation energy   -0.84 eV per atom

Cell: 6.7658 6.7658 6.7658 Å, 90.00 90.00 90.00°
Closest atoms and distances in Å follow each position.
Space group Fm-3m (No. 225)
Unique sites:
Tm 0.2500 0.2500 0.2500 [8 per cell]  4 Ir 2.93, 4 Zn 2.93
Zn 0.0000 0.0000 0.0000 [4 per cell]  8 Tm 2.93
Ir 0.0000 0.0000 0.5000 [4 per cell]  8 Tm 2.93

---

## KMgNb2Fe (meta-GGA SCAN)

Data for KMgNb2Fe at its PBEsol-relaxed geometry.

Crystal system   tetragonal
Formation energy   1.89 eV per atom

Cell: 4.9881 4.9881 4.7010 Å, 90.00 90.00 90.00°
Closest atoms and distances in Å follow each position.
Space group P4/mmm (No. 123)
Unique sites:
K 0.0000 0.0000 0.0000 [1 per cell]  8 Nb 3.43, 4 Fe 3.53
Mg 0.5000 0.5000 0.5000 [1 per cell]  2 Fe 2.35, 4 Nb 2.49
Nb 0.0000 0.5000 0.5000 [2 per cell]  2 Mg 2.49
Fe 0.5000 0.5000 0.0000 [1 per cell]  2 Mg 2.35

---

## NaTcO3 (meta-GGA SCAN)

Data for NaTcO3 at its PBEsol-relaxed geometry.

Crystal system   cubic
Formation energy (no corrections)   -1.784 eV per atom

Cell: 3.8113 3.8113 3.8113 Å, 90.00 90.00 90.00°
Closest atoms and distances in Å follow each position.
Space group Pm-3m (No. 221)
Unique sites:
Na 0.0000 0.0000 0.0000 [1 per cell]  12 O 2.70
Tc 0.5000 0.5000 0.5000 [1 per cell]  6 O 1.91
O 0.0000 0.5000 0.5000 [3 per cell]  2 Tc 1.91

---

## Mg2MnSi (meta-GGA SCAN)

Data for Mg2MnSi at its PBEsol-relaxed geometry.

Crystal system   tetragonal
Formation energy (no corrections)   0.010 eV per atom

Cell: 3.8088 3.8088 8.6966 Å, 90.00 90.00 90.00°
Closest atoms and distances in Å follow each position.
Space group I4/mmm (No. 139)
Unique sites:
Mg 0.0000 0.5000 0.2500 [4 per cell]  4 Mg 2.69, 4 Mn 2.89, 4 Si 2.89
Mn 0.0000 0.0000 0.0000 [2 per cell]  4 Si 2.69, 8 Mg 2.89
Si 0.0000 0.0000 0.5000 [2 per cell]  4 Mn 2.69, 8 Mg 2.89

---

## MnCuAs4 (meta-GGA SCAN)

Data for MnCuAs4 at its PBEsol-relaxed geometry.

Crystal system   cubic
Formation energy   0.52 eV per atom

Cell: 7.6184 7.6184 7.6184 Å, 90.00 90.00 90.00°
Closest atoms and distances in Å follow each position.
Space group F-43m (No. 216)
Unique sites:
Mn 0.0000 0.0000 0.0000 [4 per cell]  12 As 3.16, 4 Cu 3.30
Cu 0.2500 0.2500 0.2500 [4 per cell]  12 As 3.16, 4 Mn 3.30
As 0.1243 0.1243 0.6243 [16 per cell]  6 As 2.68-2.71

---

## Co2NiW (meta-GGA SCAN)

Data for Co2NiW at its PBEsol-relaxed geometry.

Polymorph energy (0 for the lowest one)   34.3 meV/atom
Crystal system   tetragonal
Formation energy   0.10 eV per atom

Cell: 3.6016 3.6016 6.9783 Å, 90.00 90.00 90.00°
Closest atoms and distances in Å follow each position.
Space group I4/mmm (No. 139)
Unique sites:
Co 0.0000 0.5000 0.2500 [4 per cell]  4 W 2.51, 4 Ni 2.51, 4 Co 2.55
Ni 0.0000 0.0000 0.0000 [2 per cell]  8 Co 2.51, 4 W 2.55
W 0.0000 0.0000 0.5000 [2 per cell]  8 Co 2.51, 4 Ni 2.55

---

## Fe2PdPbF (meta-GGA SCAN)

Data for Fe2PdPbF at its PBEsol-relaxed geometry.

Crystal system   tetragonal
Formation energy (no corrections)   0.743 eV per atom

Cell: 4.9348 4.9348 4.3168 Å, 90.00 90.00 90.00°
Closest atoms and distances in Å follow each position.
Space group P4/mmm (No. 123)
Unique sites:
Fe 0.0000 0.5000 0.0000 [2 per cell]  2 Pb 2.47
Pd 0.0000 0.0000 0.5000 [1 per cell]  8 Fe 3.28, 4 F 3.49
Pb 0.5000 0.5000 0.0000 [1 per cell]  2 F 2.16
F 0.5000 0.5000 0.5000 [1 per cell]  2 Pb 2.16

---

## Tl2Re (meta-GGA SCAN)

Data for Tl2Re at its PBEsol-relaxed geometry.

Crystal system   trigonal
Formation energy   1.01 eV per atom

Cell: 2.9620 2.9620 8.5711 Å, 90.00 90.00 120.00°
Closest atoms and distances in Å follow each position.
Space group P-3m1 (No. 164)
Unique sites:
Tl 0.3333 0.6667 0.2968 [2 per cell]  6 Tl 2.96, 3 Re 3.07
Re 0.0000 0.0000 0.0000 [1 per cell]  6 Re 2.96, 6 Tl 3.07

---

## KLaSb3 (meta-GGA SCAN)

Data for KLaSb3 at its PBEsol-relaxed geometry.

Crystal system   cubic
Formation energy (no corrections)   0.516 eV per atom

Cell: 5.5198 5.5198 5.5198 Å, 90.00 90.00 90.00°
Closest atoms and distances in Å follow each position.
Space group Pm-3m (No. 221)
Unique sites:
K 0.0000 0.0000 0.0000 [1 per cell]  6 Sb 2.76
La 0.5000 0.5000 0.5000 [1 per cell]  12 Sb 3.90
Sb 0.0000 0.0000 0.5000 [3 per cell]  2 K 2.76

---

## B2ClF (meta-GGA SCAN)

Data for B2ClF at its PBEsol-relaxed geometry.

Crystal system   cubic
Formation energy (no corrections)   1.461 eV per atom

Cell: 5.7903 5.7903 5.7903 Å, 90.00 90.00 90.00°
Closest atoms and distances in Å follow each position.
Space group Fm-3m (No. 225)
Unique sites:
B 0.2500 0.2500 0.2500 [8 per cell]  4 F 2.51, 4 Cl 2.51
Cl 0.0000 0.0000 0.0000 [4 per cell]  8 B 2.51
F 0.0000 0.0000 0.5000 [4 per cell]  8 B 2.51

---

## KZr2P (meta-GGA SCAN)

Data for KZr2P at its PBEsol-relaxed geometry.

Crystal system   tetragonal
Formation energy   0.36 eV per atom

Cell: 4.4209 4.4209 4.0464 Å, 90.00 90.00 90.00°
Closest atoms and distances in Å follow each position.
Space group P4/mmm (No. 123)
Unique sites:
K 0.0000 0.0000 0.0000 [1 per cell]  8 Zr 3.00, 4 P 3.13
Zr 0.0000 0.5000 0.5000 [2 per cell]  4 K 3.00, 4 P 3.00, 4 Zr 3.13
P 0.5000 0.5000 0.0000 [1 per cell]  8 Zr 3.00, 4 K 3.13

---

## KOsPb2 (meta-GGA SCAN)

Data for KOsPb2 at its PBEsol-relaxed geometry.

Polymorph energy (0 for the lowest one)   0.0 meV/atom
Crystal system   monoclinic
Formation energy   0.45 eV per atom

Cell: 7.9348 3.3220 8.2303 Å, 90.00 98.05 90.00°
Closest atoms and distances in Å follow each position.
Space group C2/m (No. 12)
Unique sites:
K 0.0000 0.0000 0.0000 [2 per cell]  2 K 3.32, 6 Pb 3.39-3.53
Os 0.0000 0.5000 0.5000 [2 per cell]  6 Pb 2.77-2.78
Pb 0.2317 0.0000 0.6845 [4 per cell]  3 Os 2.77-2.78

---

## HgAs3Ru (meta-GGA SCAN)

Data for HgAs3Ru at its PBEsol-relaxed geometry.

Crystal system   cubic
Formation energy   0.48 eV per atom

Cell: 4.7567 4.7567 4.7567 Å, 90.00 90.00 90.00°
Closest atoms and distances in Å follow each position.
Space group Pm-3m (No. 221)
Unique sites:
Hg 0.0000 0.0000 0.0000 [1 per cell]  12 As 3.36
As 0.0000 0.5000 0.5000 [3 per cell]  2 Ru 2.38
Ru 0.5000 0.5000 0.5000 [1 per cell]  6 As 2.38

---

## Ba3TlB (meta-GGA SCAN)

Data for Ba3TlB at its PBEsol-relaxed geometry.

Polymorph energy (0 for the lowest one)   0.0 meV/atom
Crystal system   cubic
Formation energy   0.21 eV per atom

Cell: 5.8023 5.8023 5.8023 Å, 90.00 90.00 90.00°
Closest atoms and distances in Å follow each position.
Space group Pm-3m (No. 221)
Unique sites:
Ba 0.0000 0.0000 0.5000 [3 per cell]  2 B 2.90
Tl 0.5000 0.5000 0.5000 [1 per cell]  12 Ba 4.10
B 0.0000 0.0000 0.0000 [1 per cell]  6 Ba 2.90